Computed, not measured: a relaxed TaOsRuPt crystal at the PBE level of DFT.

Output
Final energy ... -40.060 eV/f.u.
ρ ... 18.244 g cm⁻³
Formation energy from the elements ... -415 meV/atom

Geometry as POSCAR:
```
TaOsRuPt
1.0
3.881 0.000 0.000
0.000 3.961 0.000
0.000 0.000 3.951
Ru Os Ta Pt
1 1 1 1
direct
0.500 0.500 0.000
0.500 0.000 0.500
0.000 0.000 0.000
0.000 0.500 0.500
```

=====

Computed, not measured: a relaxed UOsRuPt crystal at the PBE level of DFT.

Output
Final energy ... -39.670 eV/f.u.
ρ ... 18.204 g cm⁻³
Formation energy from the elements ... -459 meV/atom

Geometry as POSCAR:
```
UOsRuPt
1.0
4.128 0.000 0.000
0.000 3.883 0.000
0.000 0.000 4.122
Ru Pt U Os
1 1 1 1
direct
0.000 0.500 0.500
0.000 0.000 0.000
0.500 0.000 0.500
0.500 0.500 0.000
```

=====

Computed, not measured: a relaxed VOsRuPt crystal at the PBE level of DFT.

Output
Final energy ... -36.702 eV/f.u.
ρ ... 15.737 g cm⁻³
Formation energy from the elements ... -259 meV/atom

Geometry as POSCAR:
```
VOsRuPt
1.0
-1.599 -3.256 -1.263
0.322 -1.518 3.506
-3.485 1.359 0.909
V Pt Ru Os
1 1 1 1
direct
0.500 0.000 0.500
0.500 0.500 0.000
0.000 0.000 0.000
0.000 0.500 0.500
```

=====

Computed, not measured: a relaxed OsRuPtW crystal at the PBE level of DFT.

Output
Final energy ... -40.006 eV/f.u.
ρ ... 18.787 g cm⁻³
Formation energy from the elements ... -127 meV/atom

Geometry as POSCAR:
```
OsRuPtW
1.0
3.954 0.000 0.000
0.000 3.828 0.000
0.000 0.000 3.914
W Pt Os Ru
1 1 1 1
direct
0.000 0.000 0.000
0.500 0.000 0.500
0.000 0.500 0.500
0.500 0.500 0.000
```

=====

Computed, not measured: a relaxed YOs2RuPt crystal at the PBE level of DFT.

Output
Final energy ... -35.275 eV/f.u.
ρ ... 11.177 g cm⁻³
Formation energy from the elements ... 1793 meV/atom

Geometry as POSCAR:
```
YOs2RuPt
1.0
4.721 0.000 0.000
0.000 5.103 0.000
0.000 0.000 4.721
Pt Os Y Ru
1 2 1 1
direct
0.000 0.000 0.000
0.000 0.000 0.500
0.500 0.000 0.000
0.000 0.500 0.000
0.500 0.500 0.500
```

=====

Computed, not measured: a relaxed OsPt3S crystal at the PBE level of DFT.

Output
ΔE_f (raw) ... 5.1 eV per formula unit
Final energy ... -28.352 eV/f.u.
Polymorph energy (0 for the lowest one) ... 0 meV per atom
ρ ... 15.157 g cm⁻³

Geometry as POSCAR:
```
OsPt3S
1.0
-0.161 1.776 4.084
-3.914 -2.006 0.718
2.124 -3.561 1.632
Os S Pt
1 1 3
direct
0.500 0.500 0.500
0.000 0.000 0.000
0.000 0.000 0.500
0.000 0.500 0.000
0.500 0.000 0.000
```

=====

Computed, not measured: a relaxed Os3PtS crystal at the PBE level of DFT.

Output
ΔE_f (raw) ... 14.4 eV per formula unit
Final energy ... -29.498 eV/f.u.
Polymorph energy (0 for the lowest one) ... 1704 meV per atom
ρ ... 11.654 g cm⁻³

Geometry as POSCAR:
```
Os3PtS
1.0
-1.081 4.644 -0.857
-3.754 -1.378 -2.734
-2.864 0.054 3.906
Os Pt S
3 1 1
direct
0.000 0.500 0.000
0.000 0.000 0.500
0.500 0.000 0.000
0.000 0.000 0.000
0.500 0.500 0.500
```

=====

Computed, not measured: a relaxed OsPtS2 crystal at the PBE level of DFT.

Output
ΔE_f (raw) ... 0.3 eV per formula unit
Final energy ... -25.222 eV/f.u.
Polymorph energy (0 for the lowest one) ... 0 meV per atom
ρ ... 10.460 g cm⁻³

Geometry as POSCAR:
```
OsPtS2
1.0
-3.904 0.420 6.394
-1.661 -2.014 7.035
-0.776 1.222 7.363
Os S Pt
1 2 1
direct
0.500 0.500 0.500
0.896 0.896 0.896
0.104 0.104 0.104
0.000 0.000 0.000
```

=====

Q: Among the records above, which one has the lowest final energy?
A: TaOsRuPt